LiCeScSe3 | Alexandria | PBE-GGA | optimized geometry; calculated density = 5.202 g/cm³; density of states at the Fermi level = 15.56 states/eV/cell; crystal system = monoclinic; energy relative to the elements, uncorrected = -1.5944 eV per atom
1.0
3.966 0.000 0.000
0.000 8.127 -0.051
0.000 -2.198 8.509
Se Ce Li Sc
6 2 2 2
Direct
0.250 0.101 0.870
0.750 0.899 0.130
0.250 0.766 0.489
0.750 0.234 0.511
0.750 0.443 0.168
0.250 0.557 0.832
0.750 0.805 0.768
0.250 0.195 0.232
0.250 0.091 0.589
0.750 0.909 0.411
0.250 0.669 0.154
0.750 0.331 0.846

=====

DyYPt2 | Alexandria | PBE-GGA | optimized geometry; calculated density = 12.454 g/cm³; density of states at the Fermi level = 2.14 states/eV/cell; crystal system = tetragonal; excess energy over the best structure of this formula in the dataset = 57 meV per atom; energy of formation from the pure elements = -1.2138 eV/atom
1.0
3.455 0.000 0.000
0.000 4.976 0.000
0.000 0.000 4.976
Dy Y Pt
1 1 2
Direct
0.500 0.500 0.500
0.500 0.000 0.000
0.000 0.000 0.500
0.000 0.500 0.000

=====

BaMg2Zr | Alexandria | PBE-GGA | optimized geometry; calculated density = 3.885 g/cm³; density of states at the Fermi level = 4.19 states/eV/cell; crystal system = monoclinic; excess energy over the best structure of this formula in the dataset = 134 meV per atom; energy of formation from the pure elements = 0.2699 eV/atom
1.0
5.105 0.000 0.000
0.000 3.343 0.047
0.000 1.532 6.964
Mg Ba Zr
2 1 1
Direct
0.500 0.059 0.272
0.000 0.162 0.038
0.500 0.798 0.770
0.000 0.480 0.419

=====

SmTmGa2Pd2 | Alexandria | PBE-GGA | optimized geometry; calculated density = 9.161 g/cm³; density of states at the Fermi level = 4.04 states/eV/cell; crystal system = trigonal; energy of formation from the pure elements = -0.8525 eV/atom
1.0
4.502 0.000 0.000
-2.251 3.899 0.000
0.000 0.000 6.936
Ga Pd Sm Tm
2 2 1 1
Direct
0.333 0.667 0.268
0.667 0.333 0.732
0.333 0.667 0.726
0.667 0.333 0.274
0.000 0.000 0.000
0.000 0.000 0.500

=====

Pm2ErIn | Alexandria | PBE-GGA | optimized geometry; calculated density = 7.393 g/cm³; density of states at the Fermi level = 6.70 states/eV/cell; crystal system = trigonal; excess energy over the best structure of this formula in the dataset = 351 meV per atom; energy of formation from the pure elements = 0.0824 eV/atom
1.0
3.500 0.000 0.000
1.750 3.031 0.000
1.750 1.010 12.114
Er Pm In
1 2 1
Direct
0.000 0.000 0.000
0.094 0.094 0.718
0.906 0.906 0.282
0.500 0.500 0.500

=====

URhS2 | Alexandria | PBE-GGA | optimized geometry; calculated density = 9.307 g/cm³; density of states at the Fermi level = 6.16 states/eV/cell; crystal system = trigonal; excess energy over the best structure of this formula in the dataset = 0 meV per atom; energy relative to the elements, uncorrected = -0.7691 eV per atom
1.0
3.741 0.000 0.000
1.870 3.240 0.000
1.870 1.080 5.963
U Rh S
1 1 2
Direct
0.494 0.494 0.517
0.678 0.678 0.965
0.071 0.071 0.787
0.256 0.256 0.230

=====

Nd12In5Pb3 | Alexandria | PBE-GGA | optimized geometry; calculated density = 6.168 g/cm³; density of states at the Fermi level = 90.91 states/eV/cell; crystal system = cubic; energy of formation from the pure elements = 0.0632 eV/atom
1.0
-3.251 11.130 -11.021
9.221 -11.366 -6.458
-13.657 -6.520 5.184
In Nd Pb
20 48 12
Direct
0.500 0.000 0.000
0.625 0.750 0.875
0.875 0.250 0.625
0.250 0.875 0.125
0.125 0.375 0.250
0.375 0.250 0.125
0.500 0.500 0.500
0.875 0.625 0.750
0.500 0.500 0.000
0.000 0.000 0.500
0.750 0.125 0.875
0.125 0.750 0.375
0.500 0.000 0.500
0.750 0.625 0.375
0.375 0.125 0.750
0.250 0.375 0.625
0.625 0.875 0.250
0.000 0.000 0.000
0.000 0.500 0.000
0.000 0.500 0.500
0.365 0.423 0.087
0.635 0.577 0.913
0.778 0.442 0.365
0.558 0.222 0.135
0.222 0.558 0.635
0.635 0.058 0.222
0.164 0.087 0.722
0.222 0.664 0.087
0.923 0.836 0.558
0.913 0.077 0.635
0.558 0.336 0.923
0.413 0.135 0.577
0.135 0.413 0.077
0.278 0.413 0.836
0.135 0.722 0.558
0.836 0.923 0.058
0.087 0.164 0.222
0.077 0.164 0.442
0.577 0.942 0.664
0.336 0.558 0.423
0.577 0.635 0.413
0.442 0.778 0.865
0.587 0.865 0.423
0.058 0.635 0.722
0.942 0.365 0.278
0.423 0.058 0.336
0.164 0.077 0.942
0.336 0.778 0.413
0.923 0.087 0.865
0.913 0.836 0.778
0.077 0.913 0.135
0.778 0.336 0.913
0.587 0.722 0.664
0.058 0.423 0.836
0.942 0.577 0.164
0.413 0.278 0.336
0.722 0.135 0.058
0.442 0.664 0.077
0.278 0.865 0.942
0.365 0.942 0.778
0.865 0.587 0.923
0.664 0.222 0.587
0.722 0.587 0.164
0.664 0.442 0.577
0.087 0.923 0.365
0.865 0.278 0.442
0.836 0.913 0.278
0.423 0.365 0.587
0.625 0.375 0.750
0.875 0.750 0.125
0.250 0.625 0.875
0.750 0.375 0.125
0.125 0.875 0.750
0.750 0.875 0.625
0.375 0.625 0.250
0.250 0.125 0.375
0.875 0.125 0.250
0.625 0.250 0.375
0.125 0.250 0.875
0.375 0.750 0.625

=====

PmCuSn2Pt4 | Alexandria | PBE-GGA | optimized geometry; calculated density = 13.266 g/cm³; density of states at the Fermi level = 3.46 states/eV/cell; crystal system = trigonal; energy of formation from the pure elements = -0.6179 eV/atom
1.0
-3.316 3.000 0.076
-4.255 -1.366 -0.180
-2.747 0.075 8.811
Pt Sn Pm Cu
4 2 1 1
Direct
0.401 0.401 0.798
0.599 0.599 0.202
0.136 0.136 0.591
0.864 0.864 0.409
0.759 0.759 0.724
0.241 0.241 0.276
0.000 0.000 0.000
0.500 0.500 0.500

=====

BaCuPt2 | Alexandria | PBE-GGA | optimized geometry; calculated density = 10.065 g/cm³; density of states at the Fermi level = 3.82 states/eV/cell; crystal system = trigonal; excess energy over the best structure of this formula in the dataset = 6 meV per atom; energy of formation from the pure elements = -0.4842 eV/atom
1.0
-0.985 -4.409 -0.016
1.659 -2.697 3.222
-4.224 -1.383 4.180
Cu Ba Pt
1 1 2
Direct
0.750 0.750 0.750
0.250 0.250 0.250
0.434 0.434 0.697
0.066 0.066 0.803

=====

Tb3Dy4Ho4 | Alexandria | PBE-GGA | optimized geometry; calculated density = 8.642 g/cm³; density of states at the Fermi level = 18.18 states/eV/cell; crystal system = triclinic; excess energy over the best structure of this formula in the dataset = 0 meV per atom; energy of formation from the pure elements = 0.0580 eV/atom
1.0
-1.351 2.099 2.419
-4.830 -2.776 -0.289
2.482 -11.362 13.750
Dy Tb Ho
4 3 4
Direct
0.681 0.181 0.639
0.454 0.454 0.092
0.319 0.819 0.361
0.546 0.546 0.908
0.000 0.000 0.000
0.137 0.637 0.726
0.863 0.363 0.274
0.267 0.267 0.467
0.733 0.733 0.533
0.591 0.091 0.819
0.409 0.909 0.181

=====

CaAcLu | Alexandria | PBE-GGA | optimized geometry; calculated density = 6.382 g/cm³; density of states at the Fermi level = 5.00 states/eV/cell; crystal system = tetragonal; excess energy over the best structure of this formula in the dataset = 0 meV per atom; energy of formation from the pure elements = 0.0927 eV/atom
1.0
3.827 0.000 0.000
0.000 3.827 0.000
-1.914 -1.914 7.851
Ac Ca Lu
1 1 1
Direct
0.322 0.322 0.645
0.008 0.008 0.016
0.670 0.670 0.339

=====

Ag5Pd2Au2 | Alexandria | PBE-GGA | optimized geometry; calculated density = 11.100 g/cm³; density of states at the Fermi level = 7.32 states/eV/cell; crystal system = orthorhombic; excess energy over the best structure of this formula in the dataset = 217 meV per atom; energy of formation from the pure elements = 0.1594 eV/atom
1.0
6.993 0.000 0.000
0.000 7.021 0.000
0.000 -3.511 6.984
Ag Au Pd
10 4 4
Direct
0.162 0.204 0.731
0.338 0.973 0.269
0.662 0.027 0.731
0.162 0.473 0.269
0.000 0.000 0.000
0.338 0.704 0.731
0.838 0.796 0.269
0.838 0.527 0.731
0.500 0.500 0.000
0.662 0.296 0.269
0.000 0.796 0.592
0.500 0.296 0.592
0.500 0.704 0.408
0.000 0.204 0.408
0.636 0.864 0.000
0.364 0.136 0.000
0.864 0.364 0.000
0.136 0.636 0.000

=====

HgBiRh3 | Alexandria | PBE-GGA | optimized geometry; calculated density = 9.723 g/cm³; density of states at the Fermi level = 0.90 states/eV/cell; crystal system = cubic; excess energy over the best structure of this formula in the dataset = 0 meV per atom; energy of formation from the pure elements = 1.1055 eV/atom
1.0
4.969 0.000 0.000
0.000 4.969 0.000
0.000 0.000 4.969
Bi Rh Hg
1 3 1
Direct
0.000 0.000 0.000
0.000 0.000 0.500
0.500 0.000 0.000
0.000 0.500 0.000
0.500 0.500 0.500

=====

Y3HgO | Alexandria | PBE-GGA | optimized geometry; calculated density = 6.111 g/cm³; density of states at the Fermi level = 5.04 states/eV/cell; crystal system = tetragonal; excess energy over the best structure of this formula in the dataset = 361 meV per atom; energy relative to the elements, uncorrected = -1.0406 eV per atom
1.0
6.634 0.000 0.000
0.000 6.634 0.000
3.317 3.317 5.968
Hg Y O
2 6 2
Direct
0.619 0.119 0.762
0.881 0.381 0.238
0.117 0.862 0.766
0.373 0.373 0.255
0.627 0.883 0.234
0.117 0.373 0.766
0.138 0.883 0.234
0.627 0.627 0.745
0.250 0.750 0.500
0.000 0.000 0.000

=====

Ba2GaH | Alexandria | PBE-GGA | optimized geometry; calculated density = 4.563 g/cm³; density of states at the Fermi level = 4.39 states/eV/cell; crystal system = cubic; excess energy over the best structure of this formula in the dataset = 169 meV per atom
1.0
4.729 -2.901 -0.912
2.317 -2.981 4.166
-0.133 -5.619 -0.152
Ba H Ga
2 1 1
Direct
0.750 0.750 0.750
0.250 0.250 0.250
0.000 0.000 0.000
0.500 0.500 0.500

=====

TmTh2ZrSb5 | Alexandria | PBE-GGA | optimized geometry; calculated density = 7.244 g/cm³; density of states at the Fermi level = 3.09 states/eV/cell; crystal system = tetragonal; energy relative to the elements, uncorrected = -0.0535 eV per atom
1.0
-0.574 5.198 0.116
-1.443 -0.047 -5.028
-10.663 -1.246 3.072
Tm Sb Th Zr
1 5 2 1
Direct
0.000 0.000 0.500
0.500 0.000 0.500
0.000 0.500 0.500
0.000 0.000 0.242
0.500 0.500 0.000
0.000 0.000 0.758
0.500 0.500 0.698
0.500 0.500 0.302
0.000 0.000 0.000

=====

CsTaCu2Ge | Alexandria | PBE-GGA | optimized geometry; calculated density = 6.460 g/cm³; density of states at the Fermi level = 5.26 states/eV/cell; crystal system = tetragonal; energy of formation from the pure elements = 2.5395 eV/atom
1.0
-1.122 -4.804 0.097
2.920 -0.590 4.531
-4.003 0.990 2.709
Cs Ta Cu Ge
1 1 2 1
Direct
0.000 0.000 0.000
0.000 0.500 0.000
0.500 0.000 0.000
0.000 0.000 0.500
0.500 0.500 0.500

=====

Np2Mn2As2S | Alexandria | PBE-GGA | optimized geometry; calculated density = 9.476 g/cm³; density of states at the Fermi level = 18.10 states/eV/cell; crystal system = tetragonal; energy relative to the elements, uncorrected = -0.2743 eV per atom
1.0
-1.997 2.869 2.401
-3.639 -0.861 -1.998
1.296 -6.288 4.846
Mn Np As S
2 2 2 1
Direct
0.000 0.500 0.000
0.500 0.000 0.000
0.174 0.174 0.348
0.826 0.826 0.652
0.375 0.375 0.749
0.625 0.625 0.251
0.000 0.000 0.000

=====

LiTiTlZn | Alexandria | PBE-GGA | optimized geometry; calculated density = 7.590 g/cm³; density of states at the Fermi level = 2.35 states/eV/cell; crystal system = cubic; energy of formation from the pure elements = -0.0033 eV/atom
1.0
4.648 0.000 0.000
2.324 4.025 0.000
2.324 1.342 3.795
Tl Ti Zn Li
1 1 1 1
Direct
0.500 0.500 0.500
0.250 0.250 0.250
0.000 0.000 0.000
0.750 0.750 0.750

=====

Ca3TlP | Alexandria | PBE-GGA | optimized geometry; calculated density = 2.600 g/cm³; density of states at the Fermi level = 12.07 states/eV/cell; crystal system = orthorhombic; excess energy over the best structure of this formula in the dataset = 780 meV per atom; energy of formation from the pure elements = 0.0595 eV/atom
1.0
-4.835 6.805 4.048
0.564 -0.964 -9.210
-5.095 -3.662 0.071
Ca P Tl
6 2 2
Direct
0.000 0.000 0.500
0.602 0.998 0.250
0.002 0.398 0.250
0.398 0.002 0.750
0.000 0.000 0.000
0.998 0.602 0.750
0.322 0.678 0.250
0.678 0.322 0.750
0.161 0.839 0.250
0.839 0.161 0.750